No. 1
VASP calculation (PBE) on a geometry-optimized ZnNiTe3Pb structure.

Unit cell a=7.9983 b=7.9983 c=10.1142 alpha=90.00 beta=90.00 gamma=151.21
Atoms (fractional coordinates):
Zn: 0.0000 0.0000 0.0000
Zn: 0.0000 0.0000 0.5000
Ni: 0.4665 0.5335 0.7500
Ni: 0.5335 0.4665 0.2500
Te: 0.0687 0.9313 0.7500
Te: 0.3627 0.6373 0.5556
Te: 0.3627 0.6373 0.9444
Te: 0.6373 0.3627 0.0556
Te: 0.6373 0.3627 0.4444
Te: 0.9313 0.0687 0.2500
Pb: 0.2416 0.7584 0.2500
Pb: 0.7584 0.2416 0.7500



No. 2
VASP calculation (PBE) on a geometry-optimized Lu2BMo structure.

Unit cell a=6.5058 b=6.5058 c=6.5058 alpha=90.00 beta=90.00 gamma=90.00
Atoms (fractional coordinates):
Lu: 0.0000 0.0000 0.0000
Lu: 0.0000 0.5000 0.5000
Lu: 0.2500 0.2500 0.2500
Lu: 0.2500 0.7500 0.7500
Lu: 0.5000 0.0000 0.5000
Lu: 0.5000 0.5000 0.0000
Lu: 0.7500 0.2500 0.7500
Lu: 0.7500 0.7500 0.2500
B: 0.0000 0.0000 0.5000
B: 0.0000 0.5000 0.0000
B: 0.5000 0.0000 0.0000
B: 0.5000 0.5000 0.5000
Mo: 0.2500 0.2500 0.7500
Mo: 0.2500 0.7500 0.2500
Mo: 0.7500 0.2500 0.2500
Mo: 0.7500 0.7500 0.7500



No. 3
VASP calculation (PBE) on a geometry-optimized Nb2CuSn structure.

Unit cell a=6.5896 b=6.5896 c=6.5896 alpha=90.00 beta=90.00 gamma=90.00
Atoms (fractional coordinates):
Nb: 0.0000 0.0000 0.0000
Nb: 0.0000 0.5000 0.5000
Nb: 0.2500 0.2500 0.2500
Nb: 0.2500 0.7500 0.7500
Nb: 0.5000 0.0000 0.5000
Nb: 0.5000 0.5000 0.0000
Nb: 0.7500 0.2500 0.7500
Nb: 0.7500 0.7500 0.2500
Cu: 0.2500 0.2500 0.7500
Cu: 0.2500 0.7500 0.2500
Cu: 0.7500 0.2500 0.2500
Cu: 0.7500 0.7500 0.7500
Sn: 0.0000 0.0000 0.5000
Sn: 0.0000 0.5000 0.0000
Sn: 0.5000 0.0000 0.0000
Sn: 0.5000 0.5000 0.5000



No. 4
VASP calculation (PBE) on a geometry-optimized Zr3Tl2Hg2 structure.

Unit cell a=8.6082 b=8.6082 c=8.6082 alpha=33.30 beta=33.30 gamma=33.30
Atoms (fractional coordinates):
Zr: 0.0000 0.0000 0.0000
Zr: 0.2512 0.2512 0.2512
Zr: 0.5050 0.5050 0.5050
Tl: 0.1214 0.1214 0.1214
Tl: 0.6342 0.6342 0.6342
Hg: 0.3836 0.3836 0.3836
Hg: 0.8696 0.8696 0.8696



No. 5
VASP calculation (PBE) on a geometry-optimized YZnOs2 structure.

As for the formation enthalpy at 0 K: 1.2 eV/f.u.

Unit cell a=6.4794 b=6.4794 c=6.4794 alpha=90.00 beta=90.00 gamma=90.00
Atoms (fractional coordinates):
Y: 0.0000 0.0000 0.0000
Y: 0.0000 0.5000 0.5000
Y: 0.5000 0.0000 0.5000
Y: 0.5000 0.5000 0.0000
Zn: 0.2500 0.2500 0.7500
Zn: 0.2500 0.7500 0.2500
Zn: 0.7500 0.2500 0.2500
Zn: 0.7500 0.7500 0.7500
Os: 0.0000 0.0000 0.5000
Os: 0.0000 0.5000 0.0000
Os: 0.2500 0.2500 0.2500
Os: 0.2500 0.7500 0.7500
Os: 0.5000 0.0000 0.0000
Os: 0.5000 0.5000 0.5000
Os: 0.7500 0.2500 0.7500
Os: 0.7500 0.7500 0.2500



| no. | E (eV/atom) |
| --- | --- |
| 1 | -3.410 |
| 2 | -5.891 |
| 3 | -6.711 |
| 4 | -4.374 |
| 5 | -7.236 |